The following is a DFT calculation (PBE-GGA) of crystalline Be2SbW at its relaxed geometry.

Calculated values
Formation energy from raw total energies: 0.49 eV per atom
Total moment: 0.0 μB per formula unit

abc: 3.6387 4.3901 3.4677
angles: 90.00 90.00 90.00
With the nearest neighbours (Å) after each atom.
Element x y z (fractional)
Be 0.5000 0.5000 0.0000  4 W 2.51, 4 Sb 2.80
W 0.0000 0.5000 0.5000  8 Be 2.51-2.80
Be 0.0000 0.0000 0.0000  4 Sb 2.51, 4 W 2.80
Sb 0.5000 0.0000 0.5000  8 Be 2.51-2.80